## A
A plane-wave DFT calculation with PBE was carried out for a geometry-optimized CrOsCl3 structure.

Values from the calculation:
As for the magnetic moment: 0.75 μB per atom.

Cell lengths 4.811, 4.811, 4.811 Å; angles 90.00, 90.00, 90.00 degrees
Space group Pm-3m (No. 221)
Asymmetric unit:
Cr 0.000 0.000 0.000 x1
Os 0.500 0.500 0.500 x1
Cl 0.000 0.500 0.500 x3



## B
A plane-wave DFT calculation with PBE was carried out for a geometry-optimized CrOsCl3 structure.

Values from the calculation:
As for the magnetic moment: 0.00 μB per atom.

Cell lengths 4.533, 4.533, 4.533 Å; angles 90.00, 90.00, 90.00 degrees
Space group Pm-3m (No. 221)
Asymmetric unit:
Cr 0.000 0.000 0.000 x1
Os 0.500 0.500 0.500 x1
Cl 0.000 0.000 0.500 x3



A comes first in stability; the runner-up is 0.737 eV/atom higher.



## A
A plane-wave DFT calculation with PBE was carried out for a geometry-optimized Cr3OsCl structure.

Values from the calculation:
As for the magnetic moment: 2.04 μB per atom.

Cell lengths 4.796, 4.796, 4.796 Å; angles 90.00, 90.00, 90.00 degrees
Space group Pm-3m (No. 221)
Asymmetric unit:
Cr 0.000 0.000 0.500 x3
Os 0.000 0.000 0.000 x1
Cl 0.500 0.500 0.500 x1



## B
A plane-wave DFT calculation with PBE was carried out for a geometry-optimized Cr3OsCl structure.

Values from the calculation:
As for the magnetic moment: 0.00 μB per atom.

Cell lengths 4.078, 4.078, 4.078 Å; angles 90.00, 90.00, 90.00 degrees
Space group Pm-3m (No. 221)
Asymmetric unit:
Cr 0.000 0.000 0.500 x3
Os 0.500 0.500 0.500 x1
Cl 0.000 0.000 0.000 x1



B comes first in stability; the runner-up is 0.082 eV/atom higher.



## A
A plane-wave DFT calculation with PBE was carried out for a geometry-optimized CrOs2Cl2 structure.

Values from the calculation:
As for the magnetic moment: 0.48 μB per atom.

Cell lengths 3.906, 3.906, 11.537 Å; angles 90.00, 90.00, 90.00 degrees
Space group I4/mmm (No. 139)
Asymmetric unit:
Cr 0.000 0.000 0.000 x2
Os 0.000 0.000 0.401 x4
Cl 0.000 0.500 0.250 x4



## B
A plane-wave DFT calculation with PBE was carried out for a geometry-optimized CrOs2Cl2 structure.

Values from the calculation:
As for the magnetic moment: 0.31 μB per atom.

Cell lengths 6.427, 6.427, 4.557 Å; angles 90.00, 90.00, 90.00 degrees
Space group P4/mbm (No. 127)
Asymmetric unit:
Cr 0.000 0.000 0.000 x2
Os 0.134 0.366 0.000 x4
Cl 0.197 0.303 0.500 x4



B comes first in stability; the runner-up is 0.220 eV/atom higher.



## A
A plane-wave DFT calculation with PBE was carried out for a geometry-optimized CrP2Cl structure.

Values from the calculation:
As for the magnetic moment: 0.26 μB per atom.

Cell lengths 3.1004, 3.1004, 25.1226 Å; angles 90.00, 90.00, 120.00 degrees
Space group R3m (No. 160, hexagonal axes)
Asymmetric unit:
Cr 0.0000 0.0000 0.0000 x3
P 0.0000 0.0000 0.2593 x3
P 0.0000 0.0000 0.5365 x3
Cl 0.0000 0.0000 0.7237 x3



## B
A plane-wave DFT calculation with PBE was carried out for a geometry-optimized CrP2Cl structure.

Values from the calculation:
As for the magnetic moment: 0.86 μB per atom.

Cell lengths 4.638, 10.233, 2.891 Å; angles 90.00, 90.00, 90.00 degrees
Space group Cmmm (No. 65)
Asymmetric unit:
Cr 0.000 0.000 0.000 x2
P 0.250 0.250 0.500 x4
Cl 0.000 0.500 0.000 x2



A comes first in stability; the runner-up is 0.485 eV/atom higher.



## A
A plane-wave DFT calculation with PBE was carried out for a geometry-optimized CrP2Cl structure.

Values from the calculation:
As for the magnetic moment: 1.03 μB per atom.

Cell lengths 3.436, 3.436, 6.236 Å; angles 90.00, 90.00, 90.00 degrees
Space group P4/mmm (No. 123)
Asymmetric unit:
Cr 0.000 0.000 0.000 x1
P 0.000 0.500 0.500 x2
Cl 0.500 0.500 0.000 x1



## B
A plane-wave DFT calculation with PBE was carried out for a geometry-optimized CrP2Cl structure.

Values from the calculation:
As for the magnetic moment: 1.01 μB per atom.

Cell lengths 3.288, 7.829, 8.293 Å; angles 90.00, 90.00, 90.00 degrees
Space group Imm2 (No. 44)
Asymmetric unit:
Cr 0.000 0.000 0.000 x2
P 0.000 0.000 0.389 x2
P 0.000 0.500 0.725 x2
Cl 0.000 0.500 0.296 x2



B comes first in stability; the runner-up is 0.183 eV/atom higher.



## A
A plane-wave DFT calculation with PBE was carried out for a geometry-optimized CrP3Cl structure.

Values from the calculation:
As for the magnetic moment: 0.05 μB per atom.

Cell lengths 4.436, 4.436, 4.436 Å; angles 90.00, 90.00, 90.00 degrees
Space group Pm-3m (No. 221)
Asymmetric unit:
Cr 0.000 0.000 0.000 x1
P 0.000 0.500 0.500 x3
Cl 0.500 0.500 0.500 x1



## B
A plane-wave DFT calculation with PBE was carried out for a geometry-optimized CrP3Cl structure.

Values from the calculation:
As for the magnetic moment: 0.00 μB per atom.

Cell lengths 4.433, 4.433, 4.433 Å; angles 90.00, 90.00, 90.00 degrees
Space group Pm-3m (No. 221)
Asymmetric unit:
Cr 0.000 0.000 0.000 x1
P 0.000 0.000 0.500 x3
Cl 0.500 0.500 0.500 x1



B comes first in stability; the runner-up is 1.392 eV/atom higher.



## A
A plane-wave DFT calculation with PBE was carried out for a geometry-optimized CrPCl2 structure.

Values from the calculation:
As for the magnetic moment: 0.75 μB per atom.

Cell lengths 4.727, 3.608, 5.109 Å; angles 90.00, 104.51, 90.00 degrees
Space group Pm (No. 6)
Asymmetric unit:
Cr 0.000 0.000 0.000 x1
P 0.149 0.500 0.300 x1
Cl 0.485 0.000 0.920 x1
Cl 0.867 0.500 0.574 x1



## B
A plane-wave DFT calculation with PBE was carried out for a geometry-optimized CrPCl2 structure.

Values from the calculation:
As for the magnetic moment: 0.98 μB per atom.

Cell lengths 3.656, 3.656, 12.024 Å; angles 90.00, 90.00, 90.00 degrees
Space group I-4m2 (No. 119)
Asymmetric unit:
Cr 0.000 0.000 0.000 x2
P 0.000 0.500 0.750 x2
Cl 0.000 0.000 0.500 x2
Cl 0.000 0.500 0.250 x2



## C
A plane-wave DFT calculation with PBE was carried out for a geometry-optimized CrPCl2 structure.

Values from the calculation:
As for the magnetic moment: 0.75 μB per atom.

Cell lengths 6.542, 6.542, 6.542 Å; angles 90.00, 90.00, 90.00 degrees
Space group F-43m (No. 216)
Asymmetric unit:
Cr 0.000 0.000 0.000 x4
P 0.250 0.250 0.250 x4
Cl 0.000 0.000 0.500 x4
Cl 0.250 0.250 0.750 x4



A comes first in stability; the runner-up is 0.674 eV/atom higher.



## A
A plane-wave DFT calculation with PBE was carried out for a geometry-optimized CrPCl2 structure.

Values from the calculation:
As for the magnetic moment: 0.00 μB per atom.

Cell lengths 2.9970, 2.9970, 33.0332 Å; angles 90.00, 90.00, 120.00 degrees
Space group R-3m (No. 166, hexagonal axes)
Asymmetric unit:
Cr 0.0000 0.0000 0.0000 x3
P 0.0000 0.0000 0.5000 x3
Cl 0.0000 0.0000 0.3807 x6



## B
A plane-wave DFT calculation with PBE was carried out for a geometry-optimized CrPCl2 structure.

Values from the calculation:
As for the magnetic moment: 0.56 μB per atom.

Cell lengths 3.036, 4.244, 14.200 Å; angles 90.00, 90.00, 90.00 degrees
Space group Immm (No. 71)
Asymmetric unit:
Cr 0.000 0.000 0.000 x2
P 0.000 0.000 0.500 x2
Cl 0.000 0.500 0.365 x4



B comes first in stability; the runner-up is 0.238 eV/atom higher.



## A
A plane-wave DFT calculation with PBE was carried out for a geometry-optimized CrPCl2 structure.

Values from the calculation:
As for the magnetic moment: 0.74 μB per atom.

Cell lengths 3.479, 3.479, 7.708 Å; angles 90.00, 90.00, 90.00 degrees
Space group P4mm (No. 99)
Asymmetric unit:
Cr 0.000 0.000 0.000 x1
P 0.500 0.500 0.952 x1
Cl 0.000 0.000 0.281 x1
Cl 0.500 0.500 0.681 x1



## B
A plane-wave DFT calculation with PBE was carried out for a geometry-optimized CrPCl2 structure.

Values from the calculation:
As for the magnetic moment: 0.25 μB per atom.

Cell lengths 8.391, 3.148, 7.222 Å; angles 90.00, 108.46, 90.00 degrees
Space group Cm (No. 8)
Asymmetric unit:
Cr 0.000 0.000 0.000 x2
P 0.292 0.000 0.000 x2
Cl 0.123 0.500 0.258 x2
Cl 0.482 0.000 0.742 x2



A comes first in stability; the runner-up is 0.089 eV/atom higher.



## A
A plane-wave DFT calculation with PBE was carried out for a geometry-optimized CrPPdCl2 structure.

Values from the calculation:
As for the magnetic moment: 0.42 μB per atom.

Cell lengths 4.669, 4.669, 4.713 Å; angles 90.00, 90.00, 90.00 degrees
Space group P4/mmm (No. 123)
Asymmetric unit:
Cr 0.000 0.000 0.000 x1
P 0.000 0.000 0.500 x1
Pd 0.500 0.500 0.500 x1
Cl 0.000 0.500 0.000 x2



## B
A plane-wave DFT calculation with PBE was carried out for a geometry-optimized CrPPdCl2 structure.

Values from the calculation:
As for the magnetic moment: 0.92 μB per atom.

Cell lengths 5.288, 5.288, 4.351 Å; angles 90.00, 90.00, 90.00 degrees
Space group P4/mmm (No. 123)
Asymmetric unit:
Cr 0.000 0.000 0.000 x1
P 0.500 0.500 0.000 x1
Pd 0.500 0.500 0.500 x1
Cl 0.000 0.500 0.500 x2



A comes first in stability; the runner-up is 0.221 eV/atom higher.



## A
A plane-wave DFT calculation with PBE was carried out for a geometry-optimized CrP2PtCl structure.

Values from the calculation:
As for the magnetic moment: 0.00 μB per atom.

Cell lengths 4.650, 4.650, 4.868 Å; angles 90.00, 90.00, 90.00 degrees
Space group P4/mmm (No. 123)
Asymmetric unit:
Cr 0.000 0.000 0.000 x1
P 0.000 0.500 0.500 x2
Pt 0.500 0.500 0.500 x1
Cl 0.500 0.500 0.000 x1



## B
A plane-wave DFT calculation with PBE was carried out for a geometry-optimized CrP2PtCl structure.

Values from the calculation:
As for the magnetic moment: 0.09 μB per atom.

Cell lengths 4.549, 4.549, 4.245 Å; angles 90.00, 90.00, 90.00 degrees
Space group P4/mmm (No. 123)
Asymmetric unit:
Cr 0.000 0.000 0.000 x1
P 0.000 0.500 0.000 x2
Pt 0.500 0.500 0.500 x1
Cl 0.000 0.000 0.500 x1



B comes first in stability; the runner-up is 0.532 eV/atom higher.



## A
A plane-wave DFT calculation with PBE was carried out for a geometry-optimized RbCrP2Cl structure.

Values from the calculation:
As for the magnetic moment: 0.50 μB per atom.

Cell lengths 5.645, 5.645, 5.692 Å; angles 90.00, 90.00, 90.00 degrees
Space group P4/mmm (No. 123)
Asymmetric unit:
Rb 0.000 0.000 0.000 x1
Cr 0.500 0.500 0.500 x1
P 0.000 0.500 0.000 x2
Cl 0.000 0.000 0.500 x1



## B
A plane-wave DFT calculation with PBE was carried out for a geometry-optimized RbCrP2Cl structure.

Values from the calculation:
As for the magnetic moment: 0.00 μB per atom.

Cell lengths 4.415, 4.415, 5.816 Å; angles 90.00, 90.00, 90.00 degrees
Space group P4/mmm (No. 123)
Asymmetric unit:
Rb 0.000 0.000 0.000 x1
Cr 0.500 0.500 0.500 x1
P 0.000 0.500 0.500 x2
Cl 0.500 0.500 0.000 x1



B comes first in stability; the runner-up is 1.846 eV/atom higher.



## A
A plane-wave DFT calculation with PBE was carried out for a geometry-optimized CrRePCl2 structure.

Values from the calculation:
As for the magnetic moment: 0.90 μB per atom.

Cell lengths 4.316, 4.316, 5.277 Å; angles 90.00, 90.00, 90.00 degrees
Space group P4/mmm (No. 123)
Asymmetric unit:
Cr 0.000 0.000 0.000 x1
Re 0.500 0.500 0.500 x1
P 0.000 0.000 0.500 x1
Cl 0.000 0.500 0.000 x2



## B
A plane-wave DFT calculation with PBE was carried out for a geometry-optimized CrRePCl2 structure.

Values from the calculation:
As for the magnetic moment: 0.95 μB per atom.

Cell lengths 4.906, 4.906, 4.587 Å; angles 90.00, 90.00, 90.00 degrees
Space group P4/mmm (No. 123)
Asymmetric unit:
Cr 0.000 0.000 0.000 x1
Re 0.500 0.500 0.500 x1
P 0.500 0.500 0.000 x1
Cl 0.000 0.500 0.500 x2



B comes first in stability; the runner-up is 0.435 eV/atom higher.